TiTlCo2 | GGA-PBE | optimized geometry

Lattice parameters (Å, degrees): 6.746 6.746 5.529 52.41 52.41 90.00
Sites, in units of the cell vectors:
Tl (0.000, 0.000, 0.000)
Tl (0.750, 0.250, 0.500)
Co (0.583, 0.125, 0.250)
Co (0.167, 0.625, 0.250)
Co (0.375, 0.417, 0.750)
Co (0.875, 0.833, 0.750)
Ti (0.500, 0.500, 0.000)
Ti (0.250, 0.750, 0.500)

Summary:
Total magnetic moment (μB per formula unit): 0.0
DOS at the Fermi energy (states/eV per atom): 0.67
Polymorph energy (0 for the lowest one) (eV/atom): 0.419
ΔE_f (eV/atom): 0.44